# 1
MnTcHOs2: optimized geometry, PBE.

Unit cell a=3.876 b=3.876 c=3.820 alpha=90.00 beta=90.00 gamma=90.00
Space group P4/mmm (No. 123)
One atom of each set of equivalent atoms:
Mn 0.000 0.000 0.000 x1
Tc 0.500 0.500 0.000 x1
H 0.000 0.000 0.500 x1
Os 0.000 0.500 0.500 x2

- uncorrected energy (eV/atom) = -8.948
- crystal system = tetragonal
- density of states at the Fermi level (states/eV/f.u.) = 3.176

# 2
NdNpI6: optimized geometry, PBE.

Unit cell a=7.701 b=14.357 c=7.696 alpha=90.00 beta=107.99 gamma=90.00
Space group C2/m (No. 12)
One atom of each set of equivalent atoms:
Nd 0.000 0.000 0.000 x2
Np 0.000 0.500 0.500 x2
I 0.247 0.500 0.249 x4
I 0.250 0.150 0.252 x8

- formation energy (no corrections) (eV per atom) = -1.10
- uncorrected energy (eV/atom) = -4.478
- crystal system = monoclinic
- density of states at the Fermi level (states/eV/f.u.) = 3.909

# 3
YW: optimized geometry, PBE.

Unit cell a=2.915 b=2.915 c=4.962 alpha=90.00 beta=90.00 gamma=90.00
Space group P4/mmm (No. 123)
One atom of each set of equivalent atoms:
Y 0.000 0.000 0.000 x1
W 0.500 0.500 0.500 x1

- uncorrected energy (eV/atom) = -8.981
- E_form (kJ/mol of atoms) = 70.2
- crystal system = tetragonal
- density of states at the Fermi level (states/eV/f.u.) = 2.114
- E above lowest polymorph (meV/atom) = 480.2

# 4
Sc2B2OsRu5: optimized geometry, PBE.

Unit cell a=9.520 b=9.520 c=2.976 alpha=90.00 beta=90.00 gamma=90.00
Space group P4/mbm (No. 127)
One atom of each set of equivalent atoms:
Sc 0.175 0.325 0.000 x4
B 0.120 0.620 0.000 x4
Os 0.000 0.000 0.000 x2
Ru 0.000 0.500 0.500 x2
Ru 0.072 0.782 0.500 x8

- uncorrected energy (eV/atom) = -8.818
- E_form (kJ/mol of atoms) = -43.9
- crystal system = tetragonal
- density of states at the Fermi level (states/eV/f.u.) = 6.340

# 5
UGaCo4Ge2: optimized geometry, PBE.

Unit cell a=3.9927 b=3.9927 c=23.8214 alpha=90.00 beta=90.00 gamma=120.00
Space group R-3m (No. 166, hexagonal axes)
One atom of each set of equivalent atoms:
U 0.0000 0.0000 0.0000 x3
Ga 0.0000 0.0000 0.5000 x3
Co 0.0000 0.0000 0.1322 x6
Co 0.0000 0.0000 0.3990 x6
Ge 0.0000 0.0000 0.2452 x6

- uncorrected energy (eV/atom) = -6.742
- E_form (kJ/mol of atoms) = -23.7
- crystal system = trigonal
- density of states at the Fermi level (states/eV/f.u.) = 5.982

# 6
TcRuSe2: optimized geometry, PBE.

Unit cell a=3.0709 b=3.0709 c=22.9583 alpha=90.00 beta=90.00 gamma=120.00
Space group R-3m (No. 166, hexagonal axes)
One atom of each set of equivalent atoms:
Tc 0.0000 0.0000 0.0000 x3
Ru 0.0000 0.0000 0.5000 x3
Se 0.0000 0.0000 0.2509 x6

- formation energy (no corrections) (eV per atom) = 0.16
- uncorrected energy (eV/atom) = -6.489
- crystal system = trigonal
- density of states at the Fermi level (states/eV/f.u.) = 2.945
- E above lowest polymorph (meV/atom) = 241.1

# 7
HoTmRu: optimized geometry, PBE.

Unit cell a=6.698 b=6.698 c=6.698 alpha=90.00 beta=90.00 gamma=90.00
Space group F-43m (No. 216)
One atom of each set of equivalent atoms:
Ho 0.000 0.000 0.000 x4
Tm 0.000 0.000 0.500 x4
Ru 0.250 0.250 0.250 x4

- uncorrected energy (eV/atom) = -6.434
- E_form (kJ/mol of atoms) = -31.4
- crystal system = cubic
- density of states at the Fermi level (states/eV/f.u.) = 0.862
- E above lowest polymorph (meV/atom) = 62.5

# 8
Na2CeMgS4: optimized geometry, PBE.

Unit cell a=6.670 b=4.001 c=7.013 alpha=90.00 beta=108.93 gamma=90.00
Space group P2/m (No. 10)
One atom of each set of equivalent atoms:
Na 0.000 0.000 0.000 x1
Na 0.500 0.500 0.000 x1
Ce 0.000 0.500 0.500 x1
Mg 0.500 0.000 0.500 x1
S 0.246 0.000 0.727 x2
S 0.266 0.500 0.282 x2

- formation energy (no corrections) (eV per atom) = -1.50
- uncorrected energy (eV/atom) = -4.834
- crystal system = monoclinic

# 9
CuRe3Ni: optimized geometry, PBE.

Unit cell a=4.395 b=4.395 c=4.395 alpha=90.00 beta=90.00 gamma=90.00
Space group Pm-3m (No. 221)
One atom of each set of equivalent atoms:
Cu 0.000 0.000 0.000 x1
Re 0.000 0.000 0.500 x3
Ni 0.500 0.500 0.500 x1

- uncorrected energy (eV/atom) = -7.290
- E_form (kJ/mol of atoms) = 207.8
- crystal system = cubic
- density of states at the Fermi level (states/eV/f.u.) = 5.456
- E above lowest polymorph (meV/atom) = 232.8

# 10
Pm4S5F2: optimized geometry, PBE.

Unit cell a=16.803 b=4.095 c=7.797 alpha=90.00 beta=104.35 gamma=90.00
Space group C2/m (No. 12)
One atom of each set of equivalent atoms:
Pm 0.012 0.000 0.261 x4
Pm 0.213 0.500 0.222 x4
S 0.000 0.500 0.500 x2
S 0.153 0.000 0.955 x4
S 0.173 0.000 0.431 x4
F 0.055 0.500 0.158 x4

- formation energy (no corrections) (eV per atom) = -2.41
- uncorrected energy (eV/atom) = -6.353
- crystal system = monoclinic

# 11
HoInSn3: optimized geometry, PBE.

Unit cell a=10.723 b=6.209 c=8.310 alpha=90.00 beta=90.00 gamma=90.00
Space group Pnma (No. 62)
One atom of each set of equivalent atoms:
Ho 0.203 0.250 0.152 x4
In 0.175 0.250 0.534 x4
Sn 0.069 0.504 0.837 x8
Sn 0.139 0.750 0.332 x4

- uncorrected energy (eV/atom) = -4.092
- E_form (kJ/mol of atoms) = -21.9
- crystal system = orthorhombic
- density of states at the Fermi level (states/eV/f.u.) = 2.537
- E above lowest polymorph (meV/atom) = 50.9

# 12
BaGe3Bi: optimized geometry, PBE.

Unit cell a=5.585 b=5.585 c=5.585 alpha=90.00 beta=90.00 gamma=90.00
Space group Pm-3m (No. 221)
One atom of each set of equivalent atoms:
Ba 0.000 0.000 0.000 x1
Ge 0.000 0.500 0.500 x3
Bi 0.500 0.500 0.500 x1

- uncorrected energy (eV/atom) = -3.545
- E_form (kJ/mol of atoms) = 37.3
- crystal system = cubic
- density of states at the Fermi level (states/eV/f.u.) = 4.779
- E above lowest polymorph (meV/atom) = 0.0

# 13
BaZnGaGe2: optimized geometry, PBE.

Unit cell a=4.704 b=4.704 c=10.485 alpha=90.00 beta=90.00 gamma=90.00
Space group I-4m2 (No. 119)
One atom of each set of equivalent atoms:
Ba 0.000 0.000 0.000 x2
Zn 0.000 0.500 0.250 x2
Ga 0.000 0.500 0.750 x2
Ge 0.000 0.000 0.373 x4

- uncorrected energy (eV/atom) = -3.445
- E_form (kJ/mol of atoms) = -34.1
- crystal system = tetragonal
- density of states at the Fermi level (states/eV/f.u.) = 1.534

# 14
K2Al: optimized geometry, PBE.

Unit cell a=4.698 b=6.248 c=19.832 alpha=90.00 beta=90.00 gamma=90.00
Space group Pnma (No. 62)
One atom of each set of equivalent atoms:
K 0.003 0.250 0.170 x4
K 0.215 0.250 0.568 x4
Al 0.152 0.750 0.274 x4

- uncorrected energy (eV/atom) = -1.831
- E_form (kJ/mol of atoms) = 14.3
- crystal system = orthorhombic
- density of states at the Fermi level (states/eV/f.u.) = 1.227
- E above lowest polymorph (meV/atom) = 9.9

# 15
Ga2AsPb: optimized geometry, PBE.

Unit cell a=7.128 b=7.128 c=7.128 alpha=90.00 beta=90.00 gamma=90.00
Space group Fm-3m (No. 225)
One atom of each set of equivalent atoms:
Ga 0.250 0.250 0.250 x8
As 0.000 0.000 0.000 x4
Pb 0.000 0.000 0.500 x4

- uncorrected energy (eV/atom) = -3.416
- E_form (kJ/mol of atoms) = 18.0
- crystal system = cubic
- density of states at the Fermi level (states/eV/f.u.) = 2.247
- E above lowest polymorph (meV/atom) = 176.6

# 16
SmEr2Co: optimized geometry, PBE.

Unit cell a=3.6920 b=3.6920 c=27.6392 alpha=90.00 beta=90.00 gamma=120.00
Space group R-3m (No. 166, hexagonal axes)
One atom of each set of equivalent atoms:
Sm 0.0000 0.0000 0.0000 x3
Er 0.0000 0.0000 0.2225 x6
Co 0.0000 0.0000 0.5000 x3

- uncorrected energy (eV/atom) = -5.249
- E_form (kJ/mol of atoms) = -1.1
- crystal system = trigonal
- density of states at the Fermi level (states/eV/f.u.) = 4.011
- E above lowest polymorph (meV/atom) = 146.5

# 17
BaNdIrO6: optimized geometry, PBE.

Unit cell a=5.7666 b=5.7666 c=5.5667 alpha=90.00 beta=90.00 gamma=120.00
Space group P312 (No. 149)
One atom of each set of equivalent atoms:
Ba 0.0000 0.0000 0.0000 x1
Nd 0.3333 0.6667 0.5000 x1
Ir 0.6667 0.3333 0.5000 x1
O 0.3978 0.0537 0.6987 x6

- formation energy (no corrections) (eV per atom) = -1.82
- uncorrected energy (eV/atom) = -6.856
- crystal system = trigonal
- density of states at the Fermi level (states/eV/f.u.) = 6.087

# 18
BC2: optimized geometry, PBE.

Unit cell a=2.6273 b=2.6273 c=14.4265 alpha=90.00 beta=90.00 gamma=120.00
Space group P-3m1 (No. 164)
One atom of each set of equivalent atoms:
B 0.0000 0.0000 0.1325 x2
B 0.3333 0.6667 0.2594 x2
C 0.0000 0.0000 0.4470 x2
C 0.3333 0.6667 0.1441 x2
C 0.3333 0.6667 0.5904 x2
C 0.3333 0.6667 0.6944 x2

- uncorrected energy (eV/atom) = -8.135
- E_form (kJ/mol of atoms) = 23.1
- crystal system = trigonal
- density of states at the Fermi level (states/eV/f.u.) = 0.493
- E above lowest polymorph (meV/atom) = 0.0

# 19
MgReSe4: optimized geometry, PBE.

Unit cell a=8.023 b=8.023 c=8.023 alpha=90.00 beta=90.00 gamma=90.00
Space group F-43m (No. 216)
One atom of each set of equivalent atoms:
Mg 0.000 0.000 0.000 x4
Re 0.250 0.250 0.750 x4
Se 0.124 0.124 0.376 x16

- formation energy (no corrections) (eV per atom) = 1.10
- uncorrected energy (eV/atom) = -3.567
- crystal system = cubic
- density of states at the Fermi level (states/eV/f.u.) = 3.054

# 20
LiTcHg4: optimized geometry, PBE.

Unit cell a=8.134 b=8.134 c=8.134 alpha=90.00 beta=90.00 gamma=90.00
Space group F-43m (No. 216)
One atom of each set of equivalent atoms:
Li 0.000 0.000 0.000 x4
Tc 0.250 0.250 0.750 x4
Hg 0.125 0.125 0.375 x16

- uncorrected energy (eV/atom) = -1.675
- E_form (kJ/mol of atoms) = 55.3
- crystal system = cubic
- density of states at the Fermi level (states/eV/f.u.) = 3.229

Computed total magnetic moment (μB/cell) in order:
1.05, 8.00, 0.00, 0.00, 0.24, 0.00, 0.00, 0.00, 0.00, 0.00, 0.00, 0.00, 0.00, 0.00, 0.00, 0.00, 2.03, 0.00, 16.34, 13.16